Record 1
# SmTm2Al2 | Alexandria | PBE-GGA | optimized geometry
# Crystal system: monoclinic
# V: 24.99 Å³/atom
# Energy of formation: -6.9 kcal/mol of atoms
# E_tot: -4.5303 eV/atom
data_SmTm2Al2
_chemical_formula_sum 'Sm2 Tm4 Al4'
_symmetry_space_group_name_H-M 'P 1 21/m 1'
_symmetry_Int_Tables_number 11
_cell_length_a 3.614
_cell_length_b 5.169
_cell_length_c 13.499
_cell_angle_alpha 90.00
_cell_angle_beta 97.69
_cell_angle_gamma 90.00
loop_
_symmetry_equiv_pos_as_xyz
'x,y,z'
'-x,-y,-z'
'-x,y+1/2,-z'
'x,-y+1/2,z'
loop_
_atom_site_label
_atom_site_fract_x
_atom_site_fract_y
_atom_site_fract_z
Sm1 0.144 0.250 0.290
Tm1 0.047 0.750 0.094
Tm2 0.233 0.750 0.467
Al1 0.360 0.250 0.719
Al2 0.452 0.750 0.905



Record 2
# Pr4TmTh3Se8 | Alexandria | PBE-GGA | optimized geometry
# Crystal system: trigonal
# V: 26.43 Å³/atom
# E_form (uncorrected): -2622 kJ/mol of formula units
# E_tot: -6.3064 eV/atom
data_Pr4TmTh3Se8
_chemical_formula_sum 'Pr12 Tm3 Th9 Se24'
_symmetry_space_group_name_H-M 'R -3 m'
_symmetry_Int_Tables_number 166
_symmetry_space_group_name_Hall '-R 3 2"'
_cell_length_a 8.3984
_cell_length_b 8.3984
_cell_length_c 20.7710
_cell_angle_alpha 90.00
_cell_angle_beta 90.00
_cell_angle_gamma 120.00
loop_
_atom_site_label
_atom_site_fract_x
_atom_site_fract_y
_atom_site_fract_z
Pr1 0.0000 0.0000 0.0000
Pr2 0.0000 0.5000 0.0000
Tm1 0.0000 0.0000 0.5000
Th1 0.0000 0.5000 0.5000
Se1 0.0000 0.0000 0.2495
Se2 0.0093 0.5046 0.2468



Record 3
# ThBiRh2 | Alexandria | PBE-GGA | optimized geometry
# Crystal system: tetragonal
# V: 22.01 Å³/atom
# Energy of formation: -10.8 kcal/mol of atoms
# E_tot: -6.9706 eV/atom
data_ThBiRh2
_chemical_formula_sum 'Th1 Bi1 Rh2'
_symmetry_space_group_name_H-M 'P 4/m m m'
_symmetry_Int_Tables_number 123
_symmetry_space_group_name_Hall '-P 4 2'
_cell_length_a 3.610
_cell_length_b 3.610
_cell_length_c 6.756
_cell_angle_alpha 90.00
_cell_angle_beta 90.00
_cell_angle_gamma 90.00
loop_
_atom_site_label
_atom_site_fract_x
_atom_site_fract_y
_atom_site_fract_z
Th1 0.000 0.000 0.000
Bi1 0.000 0.000 0.500
Rh1 0.500 0.500 0.222



Record 4
# Ga2HRu | Alexandria | PBE-GGA | optimized geometry
# Crystal system: cubic
# V: 13.51 Å³/atom
# E_tot: -4.2101 eV/atom
data_Ga2HRu
_chemical_formula_sum 'Ga8 H4 Ru4'
_symmetry_space_group_name_H-M 'F m -3 m'
_symmetry_Int_Tables_number 225
_symmetry_space_group_name_Hall '-F 4 2 3'
_cell_length_a 6.001
_cell_length_b 6.001
_cell_length_c 6.001
_cell_angle_alpha 90.00
_cell_angle_beta 90.00
_cell_angle_gamma 90.00
loop_
_atom_site_label
_atom_site_fract_x
_atom_site_fract_y
_atom_site_fract_z
Ga1 0.250 0.250 0.250
H1 0.000 0.000 0.000
Ru1 0.000 0.000 0.500



Record 5
# TbNbRu4 | Alexandria | PBE-GGA | optimized geometry
# Crystal system: cubic
# V: 16.86 Å³/atom
# Energy of formation: -2.3 kcal/mol of atoms
# E_tot: -8.7325 eV/atom
data_TbNbRu4
_chemical_formula_sum 'Tb4 Nb4 Ru16'
_symmetry_space_group_name_H-M 'F -4 3 m'
_symmetry_Int_Tables_number 216
_symmetry_space_group_name_Hall 'F -4 2 3'
_cell_length_a 7.396
_cell_length_b 7.396
_cell_length_c 7.396
_cell_angle_alpha 90.00
_cell_angle_beta 90.00
_cell_angle_gamma 90.00
loop_
_atom_site_label
_atom_site_fract_x
_atom_site_fract_y
_atom_site_fract_z
Tb1 0.000 0.000 0.000
Nb1 0.250 0.250 0.250
Ru1 0.125 0.125 0.625



Record 6
# PrMg8Pt4 | Alexandria | PBE-GGA | optimized geometry
# Crystal system: tetragonal
# V: 19.18 Å³/atom
# Energy of formation: -15.2 kcal/mol of atoms
# E_tot: -3.8686 eV/atom
data_PrMg8Pt4
_chemical_formula_sum 'Pr2 Mg16 Pt8'
_symmetry_space_group_name_H-M 'I 4/m m m'
_symmetry_Int_Tables_number 139
_symmetry_space_group_name_Hall '-I 4 2'
_cell_length_a 9.393
_cell_length_b 9.393
_cell_length_c 5.653
_cell_angle_alpha 90.00
_cell_angle_beta 90.00
_cell_angle_gamma 90.00
loop_
_atom_site_label
_atom_site_fract_x
_atom_site_fract_y
_atom_site_fract_z
Pr1 0.000 0.000 0.000
Mg1 0.000 0.221 0.500
Mg2 0.000 0.337 0.000
Pt1 0.250 0.250 0.250



Record 7
# Cd2CoBr | Alexandria | PBE-GGA | optimized geometry
# Crystal system: orthorhombic
# V: 22.44 Å³/atom
# E_form (uncorrected): 52 kJ/mol of formula units
# E_tot: -2.5176 eV/atom
data_Cd2CoBr
_chemical_formula_sum 'Cd4 Co2 Br2'
_symmetry_space_group_name_H-M 'I m m 2'
_symmetry_Int_Tables_number 44
_cell_length_a 3.125
_cell_length_b 4.574
_cell_length_c 12.561
_cell_angle_alpha 90.00
_cell_angle_beta 90.00
_cell_angle_gamma 90.00
loop_
_symmetry_equiv_pos_as_xyz
'x,y,z'
'-x,-y,z'
'-x,y,z'
'x,-y,z'
'x+1/2,y+1/2,z+1/2'
'-x+1/2,-y+1/2,z+1/2'
'-x+1/2,y+1/2,z+1/2'
'x+1/2,-y+1/2,z+1/2'
loop_
_atom_site_label
_atom_site_fract_x
_atom_site_fract_y
_atom_site_fract_z
Cd1 0.000 0.000 0.000
Cd2 0.000 0.500 0.155
Co1 0.000 0.000 0.478
Br1 0.000 0.500 0.822



Record 8
# LiPr8Sn2 | Alexandria | PBE-GGA | optimized geometry
# Crystal system: monoclinic
# V: 32.37 Å³/atom
# Energy of formation: -5.6 kcal/mol of atoms
# E_tot: -4.6209 eV/atom
data_LiPr8Sn2
_chemical_formula_sum 'Li2 Pr16 Sn4'
_symmetry_space_group_name_H-M 'C 1 2/m 1'
_symmetry_Int_Tables_number 12
_cell_length_a 19.780
_cell_length_b 5.287
_cell_length_c 7.069
_cell_angle_alpha 90.00
_cell_angle_beta 105.60
_cell_angle_gamma 90.00
loop_
_symmetry_equiv_pos_as_xyz
'x,y,z'
'-x,-y,-z'
'-x,y,-z'
'x,-y,z'
'x+1/2,y+1/2,z'
'-x+1/2,-y+1/2,-z'
'-x+1/2,y+1/2,-z'
'x+1/2,-y+1/2,z'
loop_
_atom_site_label
_atom_site_fract_x
_atom_site_fract_y
_atom_site_fract_z
Li1 0.000 0.000 0.000
Pr1 0.015 0.500 0.772
Pr2 0.093 0.000 0.483
Pr3 0.155 0.000 0.991
Pr4 0.210 0.500 0.313
Sn1 0.180 0.500 0.750



Record 9
# SrTeIr2 | Alexandria | PBE-GGA | optimized geometry
# Crystal system: orthorhombic
# V: 24.71 Å³/atom
# E_form (uncorrected): 28 kJ/mol of formula units
# E_tot: -5.5635 eV/atom
data_SrTeIr2
_chemical_formula_sum 'Sr2 Te2 Ir4'
_symmetry_space_group_name_H-M 'I m m 2'
_symmetry_Int_Tables_number 44
_cell_length_a 3.796
_cell_length_b 5.480
_cell_length_c 9.502
_cell_angle_alpha 90.00
_cell_angle_beta 90.00
_cell_angle_gamma 90.00
loop_
_symmetry_equiv_pos_as_xyz
'x,y,z'
'-x,-y,z'
'-x,y,z'
'x,-y,z'
'x+1/2,y+1/2,z+1/2'
'-x+1/2,-y+1/2,z+1/2'
'-x+1/2,y+1/2,z+1/2'
'x+1/2,-y+1/2,z+1/2'
loop_
_atom_site_label
_atom_site_fract_x
_atom_site_fract_y
_atom_site_fract_z
Sr1 0.000 0.000 0.000
Te1 0.000 0.500 0.203
Ir1 0.000 0.000 0.501
Ir2 0.000 0.500 0.840



Record 10
# BaMoSeBr2 | Alexandria | PBE-GGA | optimized geometry
# Crystal system: tetragonal
# V: 38.38 Å³/atom
# E_form (uncorrected): -58 kJ/mol of formula units
# E_tot: -4.0363 eV/atom
data_BaMoSeBr2
_chemical_formula_sum 'Ba1 Mo1 Se1 Br2'
_symmetry_space_group_name_H-M 'P 4/m m m'
_symmetry_Int_Tables_number 123
_symmetry_space_group_name_Hall '-P 4 2'
_cell_length_a 6.383
_cell_length_b 6.383
_cell_length_c 4.711
_cell_angle_alpha 90.00
_cell_angle_beta 90.00
_cell_angle_gamma 90.00
loop_
_atom_site_label
_atom_site_fract_x
_atom_site_fract_y
_atom_site_fract_z
Ba1 0.000 0.000 0.000
Mo1 0.500 0.500 0.000
Se1 0.500 0.500 0.500
Br1 0.000 0.500 0.500



Record 11
# LiHgRuCl6 | Alexandria | PBE-GGA | optimized geometry
# Crystal system: trigonal
# V: 22.68 Å³/atom
# E_form (uncorrected): -671 kJ/mol of formula units
# E_tot: -3.2808 eV/atom
data_LiHgRuCl6
_chemical_formula_sum 'Li2 Hg2 Ru2 Cl12'
_symmetry_space_group_name_H-M 'P -3 1 c'
_symmetry_Int_Tables_number 163
_symmetry_space_group_name_Hall '-P 3 2c'
_cell_length_a 6.3638
_cell_length_b 6.3638
_cell_length_c 11.6400
_cell_angle_alpha 90.00
_cell_angle_beta 90.00
_cell_angle_gamma 120.00
loop_
_atom_site_label
_atom_site_fract_x
_atom_site_fract_y
_atom_site_fract_z
Li1 0.3333 0.6667 0.2500
Hg1 0.0000 0.0000 0.0000
Ru1 0.3333 0.6667 0.7500
Cl1 0.0193 0.3722 0.6330



Record 12
# K2PH2 | Alexandria | PBE-GGA | optimized geometry
# Crystal system: tetragonal
# V: 23.83 Å³/atom
# E_tot: -2.8283 eV/atom
data_K2PH2
_chemical_formula_sum 'K4 P2 H4'
_symmetry_space_group_name_H-M 'I 4/m m m'
_symmetry_Int_Tables_number 139
_symmetry_space_group_name_Hall '-I 4 2'
_cell_length_a 5.651
_cell_length_b 5.651
_cell_length_c 7.464
_cell_angle_alpha 90.00
_cell_angle_beta 90.00
_cell_angle_gamma 90.00
loop_
_atom_site_label
_atom_site_fract_x
_atom_site_fract_y
_atom_site_fract_z
K1 0.000 0.500 0.250
P1 0.000 0.000 0.000
H1 0.000 0.000 0.211